No. 1
KAlAg2 PBE relaxed; calculated total energy = -10.0 eV per formula unit; V = 96.6 Å³/f.u.; SG = P4mm
1.0
3.4847 0.0000 0.0000
0.0000 3.4847 0.0000
0.0000 0.0000 7.9545
K Al Ag
1 1 2
Cartesian
1.7424 1.7424 5.9672 K
0.0000 0.0000 3.3552 Al
0.0000 0.0000 0.5642 Ag
1.7424 1.7424 2.0452 Ag



No. 2
CaReIr2 PBE relaxed; calculated total energy = -31.2 eV per formula unit; V = 71.2 Å³/f.u.; SG = Pmm2
1.0
-0.7751 1.1658 2.3862
-0.7023 -3.6833 1.5713
5.9754 -0.2577 2.0669
Re Ca Ir
1 1 2
Cartesian
2.5621 -0.1105 0.8862 Re
3.8486 -1.4566 3.5656 Ca
0.1847 -0.0080 0.0639 Ir
0.8901 -1.3290 2.5422 Ir



No. 3
NaTi2H PBE relaxed; calculated total energy = -18.9 eV per formula unit; V = 71.5 Å³/f.u.; SG = I-42d
1.0
5.8956 0.0000 0.0000
0.0000 5.8956 0.0000
2.9478 2.9478 4.1166
Na H Ti
2 2 4
Cartesian
0.0000 0.0000 0.0000 Na
5.8956 2.9478 2.0583 Na
2.9478 2.9478 0.0000 H
2.9478 5.8956 2.0583 H
3.1671 1.4739 1.0291 Ti
2.7285 4.4217 1.0291 Ti
4.4217 5.6763 3.0874 Ti
7.3695 6.1149 3.0874 Ti



No. 4
Re2NiOs PBE relaxed; calculated total energy = -41.4 eV per formula unit; V = 55.9 Å³/f.u.; SG = P4mm
1.0
2.7278 0.0000 0.0000
0.0000 2.7278 0.0000
0.0000 0.0000 7.5098
Ni Os Re
1 1 2
Cartesian
0.0000 0.0000 3.7398 Ni
1.3639 1.3639 5.6003 Os
0.0000 0.0000 7.4320 Re
1.3639 1.3639 2.0024 Re



No. 5
BaMgBe2 PBE relaxed; calculated total energy = -9.0 eV per formula unit; V = 95.3 Å³/f.u.; SG = Imm2
1.0
5.3768 0.0021 0.0008
0.8089 5.3156 -0.0008
-2.3892 -3.4774 3.3331
Be Mg Ba
2 1 1
Cartesian
5.4889 4.7187 0.0000 Be
3.5436 0.0245 1.6669 Be
3.4446 2.9612 0.0000 Mg
0.5981 2.1125 1.6662 Ba



No. 6
BiRhSe2 PBE relaxed; calculated total energy = -18.7 eV per formula unit; V = 98.0 Å³/f.u.; SG = C2/c
1.0
-1.3202 -5.7499 3.7259
1.3611 -5.4026 -3.7593
5.8487 -0.7750 -3.2194
Rh Bi Se
2 2 4
Cartesian
3.9327 -6.4123 -0.7497 Rh
1.9569 -5.5152 -2.5031 Rh
2.7617 -9.6452 -2.0580 Bi
3.1280 -2.2823 -1.1948 Bi
0.3796 -1.9441 -0.3613 Se
4.3586 -5.5562 -3.0009 Se
5.5101 -9.9834 -2.8915 Se
1.5311 -6.3713 -0.2518 Se



No. 7
CeHo3Tm2Se6 PBE relaxed; calculated total energy = -70.2 eV per formula unit; V = 285.7 Å³/f.u.; SG = C2/m
1.0
-3.5683 1.6468 -0.9493
-3.6903 -7.1665 1.4388
1.5377 3.1940 8.3701
Ce Ho Tm Se
1 3 2 6
Cartesian
-1.7841 0.8234 -0.4747 Ce
-3.6293 -2.7598 0.2447 Ho
-2.5625 2.3485 5.0965 Ho
-3.1584 -4.6742 3.7630 Ho
-4.4303 -1.2915 5.8028 Tm
-1.2905 -1.0342 3.0568 Tm
-3.5251 -3.8973 6.4894 Se
-4.0116 -1.9812 3.0326 Se
-2.1957 1.5716 2.3702 Se
-0.9620 -1.8529 0.4014 Se
-4.7589 -0.4728 8.4581 Se
-1.7092 -0.3445 5.8269 Se



No. 8
KMg2InSe PBE relaxed; calculated total energy = -7.7 eV per formula unit; V = 212.0 Å³/f.u.; SG = P4/mmm
1.0
6.0637 0.0000 0.0000
0.0000 5.7666 0.0000
0.0000 0.0000 6.0637
K Mg Se In
1 2 1 1
Cartesian
0.0000 0.0000 0.0000 K
0.0000 0.0000 3.0319 Mg
3.0319 0.0000 0.0000 Mg
0.0000 2.8833 0.0000 Se
3.0319 2.8833 3.0319 In



No. 9
Hf3VS PBE relaxed; calculated total energy = -39.3 eV per formula unit; V = 113.3 Å³/f.u.; SG = Pm-3m
1.0
-4.1770 -0.9547 2.2496
2.4188 -2.2499 3.5364
0.3482 4.1768 2.4192
S Hf V
1 3 1
Cartesian
-0.7049 0.4861 4.1026 S
1.2094 -1.1250 1.7682 Hf
0.1741 2.0884 1.2096 Hf
-2.0885 -0.4773 1.1248 Hf
0.0000 0.0000 0.0000 V